No. 1
Compound: SrUN3
Source: Alexandria via LeMat-Bulk
Functional: PBE
Structure: optimized geometry

Geometry as POSCAR:
```
SrUN3
1.0
4.280 0.000 0.000
0.000 4.280 0.000
0.000 0.000 4.280
Sr U N
1 1 3
Direct
0.000 0.000 0.000
0.500 0.500 0.500
0.000 0.500 0.500
0.500 0.000 0.500
0.500 0.500 0.000
```

As for the space group: Pm-3m (221). The value obtained for the total DFT energy (no corrections) is -43.0 eV/f.u. The density of states at the Fermi level is 5.43 states/eV/f.u.

=====

No. 2
Compound: Sr3UN3
Source: Alexandria via LeMat-Bulk
Functional: PBE
Structure: optimized geometry

Geometry as POSCAR:
```
Sr3UN3
1.0
10.327 0.000 0.000
0.000 10.327 0.000
0.000 0.000 5.490
Sr U N
12 4 12
Direct
0.126 0.374 0.000
0.126 0.626 0.500
0.134 0.134 0.500
0.366 0.634 0.000
0.374 0.126 0.000
0.374 0.874 0.500
0.626 0.126 0.500
0.626 0.874 0.000
0.634 0.366 0.000
0.866 0.866 0.500
0.874 0.374 0.500
0.874 0.626 0.000
0.121 0.879 0.000
0.379 0.379 0.500
0.621 0.621 0.500
0.879 0.121 0.000
0.097 0.097 0.000
0.116 0.671 0.000
0.171 0.384 0.500
0.329 0.884 0.000
0.384 0.171 0.500
0.403 0.597 0.500
0.597 0.403 0.500
0.616 0.829 0.500
0.671 0.116 0.000
0.829 0.616 0.500
0.884 0.329 0.000
0.903 0.903 0.000
```

As for the space group: P4_2/mnm (136). The value obtained for the total DFT energy (no corrections) is -47.3 eV/f.u. The density of states at the Fermi level is 2.02 states/eV/f.u.

=====

No. 3
Compound: Sr4UN4
Source: Alexandria via LeMat-Bulk
Functional: PBE
Structure: optimized geometry

Geometry as POSCAR:
```
Sr4UN4
1.0
6.126 -1.829 0.000
6.126 1.829 0.000
-3.594 0.000 9.223
Sr U N
4 1 4
Direct
0.078 0.078 0.338
0.277 0.277 0.169
0.723 0.723 0.831
0.922 0.922 0.662
0.500 0.500 0.000
0.087 0.087 0.924
0.366 0.366 0.802
0.634 0.634 0.198
0.913 0.913 0.076
```

As for the space group: C2/m (12). The value obtained for the total DFT energy (no corrections) is -59.9 eV/f.u. The density of states at the Fermi level is 1.88 states/eV/f.u.

=====

No. 4
Compound: SrUVN4
Source: Alexandria via LeMat-Bulk
Functional: PBE
Structure: optimized geometry

Geometry as POSCAR:
```
SrUVN4
1.0
5.806 0.000 0.000
0.000 5.651 0.000
-2.217 0.000 6.706
Sr U V N
2 2 2 8
Direct
0.204 0.250 0.428
0.796 0.750 0.572
0.286 0.250 0.953
0.714 0.750 0.047
0.259 0.750 0.177
0.741 0.250 0.823
0.038 0.750 0.315
0.041 0.750 0.939
0.469 0.505 0.195
0.469 0.995 0.195
0.531 0.005 0.805
0.531 0.495 0.805
0.959 0.250 0.061
0.962 0.250 0.685
```

As for the space group: P2_1/m (11). The value obtained for the total DFT energy (no corrections) is -62.7 eV/f.u. The density of states at the Fermi level is 4.16 states/eV/f.u.

=====

No. 5
Compound: Sr3U3WN8
Source: Alexandria via LeMat-Bulk
Functional: PBE
Structure: optimized geometry

Geometry as POSCAR:
```
Sr3U3WN8
1.0
3.414 1.971 6.001
-3.414 1.971 6.001
0.000 -3.942 6.001
Sr U W N
3 3 1 8
Direct
0.000 0.500 0.500
0.500 0.000 0.500
0.500 0.500 0.000
0.000 0.000 0.500
0.000 0.500 0.000
0.500 0.000 0.000
0.500 0.500 0.500
0.235 0.235 0.235
0.244 0.718 0.718
0.282 0.282 0.756
0.282 0.756 0.282
0.718 0.244 0.718
0.718 0.718 0.244
0.756 0.282 0.282
0.765 0.765 0.765
```

As for the space group: R-3m (166). The value obtained for the total DFT energy (no corrections) is -133.7 eV/f.u. The density of states at the Fermi level is 12.75 states/eV/f.u.

=====

No. 6
Compound: Sr3YU3N8
Source: Alexandria via LeMat-Bulk
Functional: PBE
Structure: optimized geometry

Geometry as POSCAR:
```
Sr3YU3N8
1.0
3.515 2.030 6.004
-3.515 2.030 6.004
0.000 -4.059 6.004
Sr Y U N
3 1 3 8
Direct
0.000 0.500 0.500
0.500 0.000 0.500
0.500 0.500 0.000
0.500 0.500 0.500
0.000 0.000 0.500
0.000 0.500 0.000
0.500 0.000 0.000
0.208 0.735 0.735
0.234 0.234 0.234
0.265 0.265 0.792
0.265 0.792 0.265
0.735 0.208 0.735
0.735 0.735 0.208
0.766 0.766 0.766
0.792 0.265 0.265
```

As for the space group: R-3m (166). The value obtained for the total DFT energy (no corrections) is -129.7 eV/f.u. The density of states at the Fermi level is 9.02 states/eV/f.u.